Entry 1:
Li2AlTe4Ir: optimized geometry, PBE.

Cell and atoms, written as POSCAR:
```
Li2AlTe4Ir
1.0
-3.028 3.028 6.450
3.028 -3.028 6.450
3.028 3.028 -6.450
Al Ir Li Te
1 1 2 4
direct
0.000 0.000 0.000
0.750 0.250 0.500
0.500 0.500 0.000
0.250 0.750 0.500
0.647 0.141 0.035
0.388 0.353 0.494
0.859 0.894 0.506
0.106 0.612 0.965
```

symmetry: I-4
calculated total energy: -3.953 eV/atom

Entry 2:
BaNaPu: optimized geometry, PBE.

Cell and atoms, written as POSCAR:
```
BaNaPu
1.0
-3.780 -1.650 4.032
-5.662 0.377 -1.029
-3.119 -4.792 -0.759
Ba Na Pu
1 1 1
direct
0.250 0.250 0.250
0.000 0.000 0.000
0.750 0.750 0.750
```

polymorph energy (0 for the lowest one): 0 meV per atom
symmetry: F-43m
calculated total energy: -5.055 eV/atom

Entry 3:
KZrAgTe3: optimized geometry, PBE.

Cell and atoms, written as POSCAR:
```
KZrAgTe3
1.0
-1.152 -2.686 -3.210
8.498 -8.779 4.295
-9.444 -5.310 7.832
Ag K Te Zr
4 4 12 4
direct
0.750 0.755 0.211
0.750 0.255 0.289
0.250 0.745 0.711
0.250 0.245 0.789
0.250 0.826 0.025
0.250 0.326 0.475
0.750 0.674 0.525
0.750 0.174 0.975
0.750 0.583 0.071
0.250 0.235 0.158
0.750 0.970 0.182
0.750 0.470 0.318
0.250 0.735 0.342
0.750 0.083 0.429
0.250 0.917 0.571
0.750 0.265 0.658
0.250 0.530 0.682
0.250 0.030 0.818
0.750 0.765 0.842
0.250 0.417 0.929
0.250 0.449 0.164
0.250 0.949 0.336
0.750 0.051 0.664
0.750 0.551 0.836
```

symmetry: Pnma
calculated total energy: -4.333 eV/atom

Entry 4:
RbNbCl3: optimized geometry, PBE.

Cell and atoms, written as POSCAR:
```
RbNbCl3
1.0
4.101 2.368 6.088
-4.101 2.368 6.088
0.000 -4.735 6.088
Cl Nb Rb
6 2 2
direct
0.458 0.750 0.042
0.958 0.542 0.250
0.750 0.042 0.458
0.250 0.958 0.542
0.042 0.458 0.750
0.542 0.250 0.958
0.250 0.250 0.250
0.750 0.750 0.750
0.000 0.000 0.000
0.500 0.500 0.500
```

symmetry: R-3c
calculated total energy: -4.276 eV/atom

Entry 5:
TaTcPt: optimized geometry, PBE.

Cell and atoms, written as POSCAR:
```
TaTcPt
1.0
2.961 -3.101 -0.353
0.448 -2.913 3.134
-1.219 -4.073 -0.658
Pt Ta Tc
1 1 1
direct
0.250 0.250 0.250
0.750 0.750 0.750
0.000 0.000 0.000
```

ΔH_f (0 K): 1.1 eV/f.u.
polymorph energy (0 for the lowest one): 207 meV per atom
symmetry: F-43m
calculated total energy: -9.056 eV/atom

Entry 6:
Pr2NiAu: optimized geometry, PBE.

Cell and atoms, written as POSCAR:
```
Pr2NiAu
1.0
-4.136 1.581 -1.312
-2.242 -1.753 4.956
1.556 6.586 3.033
Au Ni Pr
2 2 4
direct
0.000 0.118 0.464
0.000 0.882 0.964
0.500 0.616 0.038
0.500 0.384 0.538
0.500 0.119 0.181
0.000 0.611 0.317
0.500 0.881 0.681
0.000 0.389 0.817
```

ΔH_f (0 K): -2.1 eV/f.u.
symmetry: Pmc2_1
calculated total energy: -5.124 eV/atom

Entry 7:
SrErAuSe2S: optimized geometry, PBE.

Cell and atoms, written as POSCAR:
```
SrErAuSe2S
1.0
2.057 -6.846 0.000
2.057 6.846 0.000
0.000 0.000 10.367
Au Er S Se Sr
2 2 2 4 2
direct
0.471 0.529 0.250
0.529 0.471 0.750
0.000 0.000 0.000
0.000 0.000 0.500
0.083 0.917 0.250
0.917 0.083 0.750
0.355 0.645 0.051
0.355 0.645 0.449
0.645 0.355 0.551
0.645 0.355 0.949
0.745 0.255 0.250
0.255 0.745 0.750
```

symmetry: Cmcm
calculated total energy: -4.923 eV/atom

Entry 8:
NiB4Pt: optimized geometry, PBE.

Cell and atoms, written as POSCAR:
```
NiB4Pt
1.0
-0.585 2.049 2.149
-0.088 -2.952 0.660
6.500 0.167 1.609
B Ni Pt
4 1 1
direct
0.667 0.333 0.225
0.333 0.667 0.225
0.667 0.333 0.775
0.333 0.667 0.775
0.000 0.000 0.000
0.000 0.000 0.500
```

polymorph energy (0 for the lowest one): 0 meV per atom
symmetry: P6/mmm
calculated total energy: -6.041 eV/atom

| no. | volume (Å³ per atom) |
| --- | --- |
| 1 | 29.57 |
| 2 | 45.22 |
| 3 | 31.32 |
| 4 | 35.47 |
| 5 | 18.77 |
| 6 | 24.47 |
| 7 | 24.33 |
| 8 | 8.85 |